# GaCuSn2Bi, optimized geometry, DFT PBE
data_GaCuSn2Bi
_chemical_formula_sum 'Ga1 Cu1 Sn2 Bi1'
_cell_length_a 5.216
_cell_length_b 5.216
_cell_length_c 5.619
_cell_angle_alpha 90.00
_cell_angle_beta 90.00
_cell_angle_gamma 90.00
_symmetry_space_group_name_H-M 'P 4/m m m'
_symmetry_Int_Tables_number 123
_symmetry_space_group_name_Hall '-P 4 2'
loop_
_atom_site_label
_atom_site_type_symbol
_atom_site_fract_x
_atom_site_fract_y
_atom_site_fract_z
Ga1 Ga 0.000 0.000 0.000
Cu1 Cu 0.500 0.500 0.500
Sn1 Sn 0.000 0.500 0.000
Bi1 Bi 0.000 0.000 0.500
# * polymorph energy (0 for the lowest one): 593.0 meV per atom
# * energy of formation from the pure elements: 0.7360 eV/atom



# SbTePdN2, optimized geometry, DFT PBE
data_SbTePdN2
_chemical_formula_sum 'Sb1 Te1 Pd1 N2'
_cell_length_a 3.993
_cell_length_b 3.993
_cell_length_c 6.367
_cell_angle_alpha 90.00
_cell_angle_beta 90.00
_cell_angle_gamma 90.00
_symmetry_space_group_name_H-M 'P 4/m m m'
_symmetry_Int_Tables_number 123
_symmetry_space_group_name_Hall '-P 4 2'
loop_
_atom_site_label
_atom_site_type_symbol
_atom_site_fract_x
_atom_site_fract_y
_atom_site_fract_z
Sb1 Sb 0.000 0.000 0.000
Te1 Te 0.000 0.000 0.500
Pd1 Pd 0.500 0.500 0.500
N1 N 0.000 0.500 0.000
# * polymorph energy (0 for the lowest one): 0.0 meV per atom
# * E_form (uncorrected): 1.2611 eV/atom



# TbSmTm5, optimized geometry, DFT PBE
data_TbSmTm5
_chemical_formula_sum 'Tb4 Sm4 Tm20'
_cell_length_a 11.519
_cell_length_b 6.740
_cell_length_c 12.007
_cell_angle_alpha 90.00
_cell_angle_beta 109.35
_cell_angle_gamma 90.00
_symmetry_space_group_name_H-M 'C 1 2/c 1'
_symmetry_Int_Tables_number 15
loop_
_symmetry_equiv_pos_as_xyz
'x,y,z'
'-x,-y,-z'
'-x,y,-z+1/2'
'x,-y,z+1/2'
'x+1/2,y+1/2,z'
'-x+1/2,-y+1/2,-z'
'-x+1/2,y+1/2,-z+1/2'
'x+1/2,-y+1/2,z+1/2'
loop_
_atom_site_label
_atom_site_type_symbol
_atom_site_fract_x
_atom_site_fract_y
_atom_site_fract_z
Tb1 Tb 0.250 0.250 0.000
Sm1 Sm 0.000 0.026 0.250
Tm1 Tm 0.000 0.412 0.750
Tm2 Tm 0.078 0.276 0.499
Tm3 Tm 0.221 0.359 0.251
# * polymorph energy (0 for the lowest one): 0.0 meV per atom
# * energy of formation from the pure elements: 0.2021 eV/atom



# Tb13Sm3, optimized geometry, DFT PBE
data_Tb13Sm3
_chemical_formula_sum 'Tb26 Sm6'
_cell_length_a 7.297
_cell_length_b 11.394
_cell_length_c 12.592
_cell_angle_alpha 90.00
_cell_angle_beta 90.00
_cell_angle_gamma 90.00
_symmetry_space_group_name_H-M 'A m m 2'
_symmetry_Int_Tables_number 38
loop_
_symmetry_equiv_pos_as_xyz
'x,y,z'
'-x,-y,z'
'-x,y,z'
'x,-y,z'
'x,y+1/2,z+1/2'
'-x,-y+1/2,z+1/2'
'-x,y+1/2,z+1/2'
'x,-y+1/2,z+1/2'
loop_
_atom_site_label
_atom_site_type_symbol
_atom_site_fract_x
_atom_site_fract_y
_atom_site_fract_z
Tb1 Tb 0.000 0.000 0.000
Tb2 Tb 0.000 0.000 0.499
Tb3 Tb 0.000 0.249 0.166
Tb4 Tb 0.250 0.000 0.250
Tb5 Tb 0.250 0.249 0.416
Tb6 Tb 0.500 0.000 0.499
Tb7 Tb 0.500 0.249 0.166
Sm1 Sm 0.249 0.000 0.749
Sm2 Sm 0.500 0.000 0.000
# * polymorph energy (0 for the lowest one): 3.8 meV per atom
# * energy of formation from the pure elements: 0.0176 eV/atom



# Mg2CoH2, optimized geometry, DFT PBE
data_Mg2CoH2
_chemical_formula_sum 'Mg4 Co2 H4'
_cell_length_a 3.003
_cell_length_b 3.003
_cell_length_c 12.275
_cell_angle_alpha 90.00
_cell_angle_beta 90.00
_cell_angle_gamma 90.00
_symmetry_space_group_name_H-M 'I 4/m m m'
_symmetry_Int_Tables_number 139
_symmetry_space_group_name_Hall '-I 4 2'
loop_
_atom_site_label
_atom_site_type_symbol
_atom_site_fract_x
_atom_site_fract_y
_atom_site_fract_z
Mg1 Mg 0.000 0.000 0.147
Co1 Co 0.000 0.000 0.500
H1 H 0.000 0.500 0.250
# * polymorph energy (0 for the lowest one): 0.0 meV per atom



# Ag12Bi5Sb3, optimized geometry, DFT PBE
data_Ag12Bi5Sb3
_chemical_formula_sum 'Ag96 Bi40 Sb24'
_cell_length_a 16.475
_cell_length_b 16.475
_cell_length_c 16.475
_cell_angle_alpha 90.00
_cell_angle_beta 90.00
_cell_angle_gamma 90.00
_symmetry_space_group_name_H-M 'I a -3 d'
_symmetry_Int_Tables_number 230
_symmetry_space_group_name_Hall '-I 4bd 2c 3'
loop_
_atom_site_label
_atom_site_type_symbol
_atom_site_fract_x
_atom_site_fract_y
_atom_site_fract_z
Ag1 Ag 0.009 0.082 0.654
Bi1 Bi 0.000 0.000 0.000
Bi2 Bi 0.000 0.250 0.375
Sb1 Sb 0.000 0.250 0.125
# * E_form (uncorrected): 0.3008 eV/atom



# CoOsAu2, optimized geometry, DFT PBE
data_CoOsAu2
_chemical_formula_sum 'Co3 Os3 Au6'
_cell_length_a 2.7871
_cell_length_b 2.7871
_cell_length_c 27.4741
_cell_angle_alpha 90.00
_cell_angle_beta 90.00
_cell_angle_gamma 120.00
_symmetry_space_group_name_H-M 'R -3 m'
_symmetry_Int_Tables_number 166
_symmetry_space_group_name_Hall '-R 3 2"'
loop_
_atom_site_label
_atom_site_type_symbol
_atom_site_fract_x
_atom_site_fract_y
_atom_site_fract_z
Co1 Co 0.0000 0.0000 0.0000
Os1 Os 0.0000 0.0000 0.5000
Au1 Au 0.0000 0.0000 0.2534
# * polymorph energy (0 for the lowest one): 224.8 meV per atom
# * energy of formation from the pure elements: 0.4959 eV/atom



# LiCd4Pt3, optimized geometry, DFT PBE
data_LiCd4Pt3
_chemical_formula_sum 'Li1 Cd4 Pt3'
_cell_length_a 3.790
_cell_length_b 4.295
_cell_length_c 8.634
_cell_angle_alpha 90.00
_cell_angle_beta 90.00
_cell_angle_gamma 90.00
_symmetry_space_group_name_H-M 'P m m m'
_symmetry_Int_Tables_number 47
loop_
_symmetry_equiv_pos_as_xyz
'x,y,z'
'-x,-y,-z'
'-x,-y,z'
'x,y,-z'
'x,-y,-z'
'-x,y,z'
'-x,y,-z'
'x,-y,z'
loop_
_atom_site_label
_atom_site_type_symbol
_atom_site_fract_x
_atom_site_fract_y
_atom_site_fract_z
Li1 Li 0.000 0.000 0.000
Cd1 Cd 0.500 0.000 0.249
Cd2 Cd 0.500 0.500 0.000
Cd3 Cd 0.500 0.500 0.500
Pt1 Pt 0.000 0.000 0.500
Pt2 Pt 0.000 0.500 0.248
# * energy of formation from the pure elements: -0.3305 eV/atom



# MnAu2Br, optimized geometry, DFT PBE
data_MnAu2Br
_chemical_formula_sum 'Mn1 Au2 Br1'
_cell_length_a 3.292
_cell_length_b 3.292
_cell_length_c 7.789
_cell_angle_alpha 90.00
_cell_angle_beta 90.00
_cell_angle_gamma 90.00
_symmetry_space_group_name_H-M 'P 4 m m'
_symmetry_Int_Tables_number 99
loop_
_symmetry_equiv_pos_as_xyz
'x,y,z'
'-y,x,z'
'-x,-y,z'
'y,-x,z'
'-x,y,z'
'y,x,z'
'x,-y,z'
'-y,-x,z'
loop_
_atom_site_label
_atom_site_type_symbol
_atom_site_fract_x
_atom_site_fract_y
_atom_site_fract_z
Mn1 Mn 0.000 0.000 0.000
Au1 Au 0.000 0.000 0.411
Au2 Au 0.500 0.500 0.202
Br1 Br 0.500 0.500 0.789
# * polymorph energy (0 for the lowest one): 106.5 meV per atom
# * E_form (uncorrected): 0.0573 eV/atom



# LaNd2Sm3S6, optimized geometry, DFT PBE
data_LaNd2Sm3S6
_chemical_formula_sum 'La2 Nd4 Sm6 S12'
_cell_length_a 7.005
_cell_length_b 12.172
_cell_length_c 7.027
_cell_angle_alpha 90.00
_cell_angle_beta 109.48
_cell_angle_gamma 90.00
_symmetry_space_group_name_H-M 'C 1 2/m 1'
_symmetry_Int_Tables_number 12
loop_
_symmetry_equiv_pos_as_xyz
'x,y,z'
'-x,-y,-z'
'-x,y,-z'
'x,-y,z'
'x+1/2,y+1/2,z'
'-x+1/2,-y+1/2,-z'
'-x+1/2,y+1/2,-z'
'x+1/2,-y+1/2,z'
loop_
_atom_site_label
_atom_site_type_symbol
_atom_site_fract_x
_atom_site_fract_y
_atom_site_fract_z
La1 La 0.000 0.000 0.000
Nd1 Nd 0.000 0.333 0.000
Sm1 Sm 0.000 0.167 0.500
Sm2 Sm 0.000 0.500 0.500
S1 S 0.246 0.332 0.743
S2 S 0.250 0.000 0.743
# * E_form (uncorrected): -2.0536 eV/atom



# TbYTlIr, optimized geometry, DFT PBE
data_TbYTlIr
_chemical_formula_sum 'Tb1 Y1 Tl1 Ir1'
_cell_length_a 3.480
_cell_length_b 3.480
_cell_length_c 8.048
_cell_angle_alpha 90.00
_cell_angle_beta 90.00
_cell_angle_gamma 90.00
_symmetry_space_group_name_H-M 'P 4 m m'
_symmetry_Int_Tables_number 99
loop_
_symmetry_equiv_pos_as_xyz
'x,y,z'
'-y,x,z'
'-x,-y,z'
'y,-x,z'
'-x,y,z'
'y,x,z'
'x,-y,z'
'-y,-x,z'
loop_
_atom_site_label
_atom_site_type_symbol
_atom_site_fract_x
_atom_site_fract_y
_atom_site_fract_z
Tb1 Tb 0.000 0.000 0.000
Y1 Y 0.000 0.000 0.588
Tl1 Tl 0.500 0.500 0.295
Ir1 Ir 0.500 0.500 0.794
# * polymorph energy (0 for the lowest one): 0.0 meV per atom
# * energy of formation from the pure elements: -0.5999 eV/atom



# Ca2AcSi, optimized geometry, DFT PBE
data_Ca2AcSi
_chemical_formula_sum 'Ca6 Ac3 Si3'
_cell_length_a 5.6171
_cell_length_b 5.6171
_cell_length_c 13.6659
_cell_angle_alpha 90.00
_cell_angle_beta 90.00
_cell_angle_gamma 120.00
_symmetry_space_group_name_H-M 'R -3 m'
_symmetry_Int_Tables_number 166
_symmetry_space_group_name_Hall '-R 3 2"'
loop_
_atom_site_label
_atom_site_type_symbol
_atom_site_fract_x
_atom_site_fract_y
_atom_site_fract_z
Ca1 Ca 0.0000 0.0000 0.2490
Ac1 Ac 0.0000 0.0000 0.5000
Si1 Si 0.0000 0.0000 0.0000
# * polymorph energy (0 for the lowest one): 482.7 meV per atom
# * E_form (uncorrected): 0.2110 eV/atom



The records above give, respectively, magnetic moment values of 0.00, 1.88, 0.00, 0.00, 2.28, 0.00, 5.43, 0.00, 4.37, 0.00, 0.00, 0.00 Bohr magnetons per cell.